# RbNaHfS3

An optimized crystal structure of RbNaHfS3 (GGA-PBE, OQMD via LeMat-Bulk).

The value obtained for the excess energy over the best structure of this formula in the dataset is 4 meV per atom. As for the spin magnetization: 0.00 μB/cell.

The space group is P2_1/m (No. 11) and the conventional cell measures 8.679, 3.892 and 9.848 Å, with angles of 90.00, 108.89 and 90.00 degrees. Symmetry generates all atoms from Rb at (0.242, 0.250, 0.230), Na at (0.450, 0.250, 0.890), Hf at (0.177, 0.750, 0.644), S at (0.031, 0.750, 0.368), S at (0.247, 0.750, 0.909) and S at (0.359, 0.250, 0.612).

---

# RbNaHfSe3

An optimized crystal structure of RbNaHfSe3 (GGA-PBE, OQMD via LeMat-Bulk).

The value obtained for the excess energy over the best structure of this formula in the dataset is 0 meV per atom. As for the spin magnetization: 0.01 μB/cell.

The space group is Pnma (No. 62) and the conventional cell measures 15.541, 4.042 and 11.289 Å, with angles of 90.00, 90.00 and 90.00 degrees. Symmetry generates all atoms from Rb at (0.238, 0.250, 0.031), Na at (0.028, 0.750, 0.087), Hf at (0.013, 0.250, 0.341), Se at (0.085, 0.250, 0.565), Se at (0.085, 0.750, 0.846) and Se at (0.125, 0.750, 0.287).

---

# RbNaHfSe3

An optimized crystal structure of RbNaHfSe3 (GGA-PBE, OQMD via LeMat-Bulk).

The value obtained for the excess energy over the best structure of this formula in the dataset is 4 meV per atom. As for the spin magnetization: 0.01 μB/cell.

The space group is P2_1/m (No. 11) and the conventional cell measures 8.774, 4.042 and 10.548 Å, with angles of 90.00, 109.64 and 90.00 degrees. Symmetry generates all atoms from Rb at (0.237, 0.250, 0.217), Na at (0.445, 0.250, 0.894), Hf at (0.177, 0.750, 0.649), Se at (0.044, 0.750, 0.374), Se at (0.232, 0.750, 0.910) and Se at (0.373, 0.250, 0.624).

---

Record order is preserved below.
Uncorrected energy: -5.44; -5.00; -5.00 eV per atom